# 1
# LaAlI PBE-GGA optimized geometry
data_LaAlI
_chemical_formula_sum 'La4 Al4 I4'
_cell_length_a 24.333
_cell_length_b 4.126
_cell_length_c 4.051
_cell_angle_alpha 90.00
_cell_angle_beta 90.00
_cell_angle_gamma 90.00
_space_group_name_H-M_alt 'P n m a'
_space_group_IT_number 62
loop_
_space_group_symop_operation_xyz
'x,y,z'
'-x,-y,-z'
'-x+1/2,-y,z+1/2'
'x+1/2,y,-z+1/2'
'x+1/2,-y+1/2,-z+1/2'
'-x+1/2,y+1/2,z+1/2'
'-x,y+1/2,-z'
'x,-y+1/2,z'
loop_
_atom_site_label
_atom_site_type_symbol
_atom_site_fract_x
_atom_site_fract_y
_atom_site_fract_z
La1 La 0.107 0.250 0.249
Al1 Al 0.001 0.750 0.251
I1 I 0.174 0.750 0.749
# Crystal system: orthorhombic
# E_form (uncorrected) (meV/atom): -733
# Energy (hartree per atom): -0.1521

# 2
# MnOs4 PBE-GGA optimized geometry
data_MnOs4
_chemical_formula_sum 'Mn1 Os4'
_cell_length_a 4.344
_cell_length_b 4.344
_cell_length_c 4.344
_cell_angle_alpha 90.00
_cell_angle_beta 90.00
_cell_angle_gamma 90.00
_space_group_name_H-M_alt 'P m -3 m'
_space_group_IT_number 221
_space_group_name_Hall '-P 4 2 3'
loop_
_atom_site_label
_atom_site_type_symbol
_atom_site_fract_x
_atom_site_fract_y
_atom_site_fract_z
Mn1 Mn 0.000 0.000 0.000
Os1 Os 0.000 0.000 0.500
Os2 Os 0.500 0.500 0.500
# Offset from the most stable computed form (eV/atom): 1.874
# Crystal system: cubic
# Energy (hartree per atom): -0.3248

# 3
# Be3Tl PBE-GGA optimized geometry
data_Be3Tl
_chemical_formula_sum 'Be9 Tl3'
_cell_length_a 2.9414
_cell_length_b 2.9414
_cell_length_c 23.3235
_cell_angle_alpha 90.00
_cell_angle_beta 90.00
_cell_angle_gamma 120.00
_space_group_name_H-M_alt 'R -3 m'
_space_group_IT_number 166
_space_group_name_Hall '-R 3 2"'
loop_
_atom_site_label
_atom_site_type_symbol
_atom_site_fract_x
_atom_site_fract_y
_atom_site_fract_z
Be1 Be 0.0000 0.0000 0.0000
Be2 Be 0.0000 0.0000 0.2658
Tl1 Tl 0.0000 0.0000 0.5000
# Offset from the most stable computed form (eV/atom): 0.475
# Crystal system: trigonal
# Energy (hartree per atom): -0.0939